Entry 1:
# PaGeIrRu, optimized geometry, DFT PBE
data_PaGeIrRu
_chemical_formula_sum 'Pa2 Ge2 Ir2 Ru2'
_cell_length_a 12.546
_cell_length_b 3.509
_cell_length_c 3.684
_cell_angle_alpha 90.00
_cell_angle_beta 94.31
_cell_angle_gamma 90.00
_space_group_name_H-M_alt 'C 1 m 1'
_space_group_IT_number 8
loop_
_space_group_symop_operation_xyz
'x,y,z'
'x,-y,z'
'x+1/2,y+1/2,z'
'x+1/2,-y+1/2,z'
loop_
_atom_site_label
_atom_site_fract_x
_atom_site_fract_y
_atom_site_fract_z
Pa1 0.000 0.000 0.000
Ge1 0.253 0.000 0.887
Ir1 0.395 0.000 0.402
Ru1 0.118 0.500 0.660
# - N(E_F) (states/eV per cell) = 5.4
# - ρ (g cm⁻³) = 12.3
# - volume (Å³/atom) = 20.218
# - M_tot (μB/f.u.) = 0.0
# - final energy (eV/atom) = -8.397

***

Entry 2:
# La4Ce2H2Pb3, optimized geometry, DFT PBE
data_La4Ce2H2Pb3
_chemical_formula_sum 'La8 Ce4 H4 Pb6'
_cell_length_a 4.948
_cell_length_b 4.948
_cell_length_c 26.392
_cell_angle_alpha 90.00
_cell_angle_beta 90.00
_cell_angle_gamma 90.00
_space_group_name_H-M_alt 'I 4/m m m'
_space_group_IT_number 139
_space_group_name_Hall '-I 4 2'
loop_
_atom_site_label
_atom_site_fract_x
_atom_site_fract_y
_atom_site_fract_z
La1 0.000 0.500 0.085
Ce1 0.000 0.000 0.200
H1 0.000 0.000 0.106
Pb1 0.000 0.000 0.324
Pb2 0.000 0.000 0.500
# - N(E_F) (states/eV per cell) = 46.4
# - ρ (g cm⁻³) = 7.5
# - volume (Å³/atom) = 29.370
# - M_tot (μB/f.u.) = 3.3
# - final energy (eV/atom) = -4.880

***

Entry 3:
# Zn2GaCCl, optimized geometry, DFT PBE
data_Zn2GaCCl
_chemical_formula_sum 'Zn2 Ga1 C1 Cl1'
_cell_length_a 5.115
_cell_length_b 5.115
_cell_length_c 5.583
_cell_angle_alpha 90.00
_cell_angle_beta 90.00
_cell_angle_gamma 90.00
_space_group_name_H-M_alt 'P 4/m m m'
_space_group_IT_number 123
_space_group_name_Hall '-P 4 2'
loop_
_atom_site_label
_atom_site_fract_x
_atom_site_fract_y
_atom_site_fract_z
Zn1 0.000 0.500 0.000
Ga1 0.000 0.000 0.500
C1 0.500 0.500 0.500
Cl1 0.000 0.000 0.000
# - N(E_F) (states/eV per cell) = 2.0
# - ρ (g cm⁻³) = 2.8
# - uncorrected formation energy (eV per atom) = 1.715
# - volume (Å³/atom) = 29.213
# - M_tot (μB/f.u.) = 1.9

***

Entry 4:
# Hf2ScFe3, optimized geometry, DFT PBE
data_Hf2ScFe3
_chemical_formula_sum 'Hf2 Sc1 Fe3'
_cell_length_a 3.128
_cell_length_b 3.128
_cell_length_c 9.367
_cell_angle_alpha 90.00
_cell_angle_beta 90.00
_cell_angle_gamma 90.00
_space_group_name_H-M_alt 'P 4/m m m'
_space_group_IT_number 123
_space_group_name_Hall '-P 4 2'
loop_
_atom_site_label
_atom_site_fract_x
_atom_site_fract_y
_atom_site_fract_z
Hf1 0.000 0.000 0.169
Sc1 0.000 0.000 0.500
Fe1 0.500 0.500 0.000
Fe2 0.500 0.500 0.327
# - N(E_F) (states/eV per cell) = 5.2
# - ρ (g cm⁻³) = 10.3
# - volume (Å³/atom) = 15.278
# - M_tot (μB/f.u.) = 0.0
# - final energy (eV/atom) = -8.860

***

Entry 5:
# Ti5Fe4Rh, optimized geometry, DFT PBE
data_Ti5Fe4Rh
_chemical_formula_sum 'Ti5 Fe4 Rh1'
_cell_length_a 2.979
_cell_length_b 2.979
_cell_length_c 15.014
_cell_angle_alpha 90.00
_cell_angle_beta 90.00
_cell_angle_gamma 90.00
_space_group_name_H-M_alt 'P 4/m m m'
_space_group_IT_number 123
_space_group_name_Hall '-P 4 2'
loop_
_atom_site_label
_atom_site_fract_x
_atom_site_fract_y
_atom_site_fract_z
Ti1 0.000 0.000 0.000
Ti2 0.000 0.000 0.195
Ti3 0.000 0.000 0.390
Fe1 0.500 0.500 0.098
Fe2 0.500 0.500 0.296
Rh1 0.500 0.500 0.500
# - N(E_F) (states/eV per cell) = 6.6
# - ρ (g cm⁻³) = 7.1
# - volume (Å³/atom) = 13.320
# - M_tot (μB/f.u.) = 0.7
# - final energy (eV/atom) = -8.541

***

Entry 6:
# HoTa2B6, optimized geometry, DFT PBE
data_HoTa2B6
_chemical_formula_sum 'Ho2 Ta4 B12'
_cell_length_a 3.214
_cell_length_b 7.254
_cell_length_c 8.507
_cell_angle_alpha 90.00
_cell_angle_beta 90.00
_cell_angle_gamma 90.00
_space_group_name_H-M_alt 'I m m m'
_space_group_IT_number 71
_space_group_name_Hall '-I 2 2'
loop_
_atom_site_label
_atom_site_fract_x
_atom_site_fract_y
_atom_site_fract_z
Ho1 0.000 0.000 0.000
Ta1 0.000 0.500 0.162
B1 0.000 0.152 0.500
B2 0.000 0.236 0.304
# - N(E_F) (states/eV per cell) = 4.7
# - ρ (g cm⁻³) = 9.9
# - volume (Å³/atom) = 11.020
# - M_tot (μB/f.u.) = 0.0
# - final energy (eV/atom) = -8.138

***

Entry 7:
# NaGa2F6, optimized geometry, DFT PBE
data_NaGa2F6
_chemical_formula_sum 'Na1 Ga2 F6'
_cell_length_a 5.4035
_cell_length_b 5.4035
_cell_length_c 4.9845
_cell_angle_alpha 90.00
_cell_angle_beta 90.00
_cell_angle_gamma 120.00
_space_group_name_H-M_alt 'P -3 1 m'
_space_group_IT_number 162
_space_group_name_Hall '-P 3 2'
loop_
_atom_site_label
_atom_site_fract_x
_atom_site_fract_y
_atom_site_fract_z
Na1 0.0000 0.0000 0.0000
Ga1 0.3333 0.6667 0.5000
F1 0.0000 0.3653 0.7156
# - N(E_F) (states/eV per cell) = 1.5
# - ρ (g cm⁻³) = 3.6
# - uncorrected formation energy (eV per atom) = -2.446
# - volume (Å³/atom) = 14.004
# - M_tot (μB/f.u.) = 0.0

***

Entry 8:
# LaCoAg2, optimized geometry, DFT PBE
data_LaCoAg2
_chemical_formula_sum 'La4 Co4 Ag8'
_cell_length_a 3.931
_cell_length_b 3.931
_cell_length_c 21.534
_cell_angle_alpha 90.00
_cell_angle_beta 90.00
_cell_angle_gamma 90.00
_space_group_name_H-M_alt 'I -4 2 d'
_space_group_IT_number 122
_space_group_name_Hall 'I -4 2bw'
loop_
_atom_site_label
_atom_site_fract_x
_atom_site_fract_y
_atom_site_fract_z
La1 0.000 0.000 0.000
Co1 0.000 0.000 0.500
Ag1 0.230 0.250 0.625
# - N(E_F) (states/eV per cell) = 10.3
# - ρ (g cm⁻³) = 8.3
# - volume (Å³/atom) = 20.799
# - M_tot (μB/f.u.) = 0.0
# - final energy (eV/atom) = -4.239

***

> Look up the volume of the seventh one.

14.004 Å³/atom

***

Repeat the eighth record exactly.
# LaCoAg2, optimized geometry, DFT PBE
data_LaCoAg2
_chemical_formula_sum 'La4 Co4 Ag8'
_cell_length_a 3.931
_cell_length_b 3.931
_cell_length_c 21.534
_cell_angle_alpha 90.00
_cell_angle_beta 90.00
_cell_angle_gamma 90.00
_space_group_name_H-M_alt 'I -4 2 d'
_space_group_IT_number 122
_space_group_name_Hall 'I -4 2bw'
loop_
_atom_site_label
_atom_site_fract_x
_atom_site_fract_y
_atom_site_fract_z
La1 0.000 0.000 0.000
Co1 0.000 0.000 0.500
Ag1 0.230 0.250 0.625
# - N(E_F) (states/eV per cell) = 10.3
# - ρ (g cm⁻³) = 8.3
# - volume (Å³/atom) = 20.799
# - M_tot (μB/f.u.) = 0.0
# - final energy (eV/atom) = -4.239